1:
LaZn2Cu2: relaxed, PBE-GGA.

Computed properties:
Space-group type   I4/mmm, No. 139
Calculated volume   18.665 A^3/atom

Cell and atoms, written as POSCAR:
```
LaZn2Cu2
1.0
-2.2605 2.2605 4.5658
2.2605 -2.2605 4.5658
2.2605 2.2605 -4.5658
La Zn Cu
1 2 2
Cartesian
0.0000 0.0000 0.0000
0.0000 0.0000 3.3223
0.0000 0.0000 5.8094
2.2605 0.0000 2.2829
0.0000 2.2605 2.2829
```

2:
LaZn2Cu2: relaxed, PBE-GGA.

Computed properties:
Space-group type   P4/mbm, No. 127
Calculated volume   17.382 A^3/atom

Cell and atoms, written as POSCAR:
```
LaZn2Cu2
1.0
7.7414 0.0000 0.0000
0.0000 7.7414 0.0000
0.0000 0.0000 2.9005
La Zn Cu
2 4 4
Cartesian
0.0000 0.0000 0.0000
3.8707 3.8707 0.0000
1.2784 2.5923 1.4502
2.5923 6.4629 1.4502
5.1491 1.2784 1.4502
6.4629 5.1491 1.4502
0.9270 4.7977 0.0000
2.9437 0.9270 0.0000
4.7977 6.8144 0.0000
6.8144 2.9437 0.0000
```

3:
LaZn2Cu2: relaxed, PBE-GGA.

Computed properties:
Space-group type   P4/mbm, No. 127
Calculated volume   17.281 A^3/atom

Cell and atoms, written as POSCAR:
```
LaZn2Cu2
1.0
7.7875 0.0000 0.0000
0.0000 7.7875 0.0000
0.0000 0.0000 2.8495
La Zn Cu
2 4 4
Cartesian
0.0000 0.0000 0.0000
3.8937 3.8937 0.0000
0.9136 2.9802 0.0000
2.9802 6.8739 0.0000
4.8073 0.9136 0.0000
6.8739 4.8073 0.0000
1.3672 5.2610 1.4247
2.5265 1.3672 1.4247
5.2610 6.4203 1.4247
6.4203 2.5265 1.4247
```

So which one is most stable? That would be 1, about 0.211 eV/atom below the next structure.